No. 1
## In2FeAu (PBEsol)

Data for a relaxed In2FeAu crystal.

Geometry as POSCAR:
```
In2FeAu
1.0
0.000 3.302 3.302
3.302 0.000 3.302
3.302 3.302 0.000
In Fe Au
2 1 1
Direct
0.000 0.000 0.000 In
0.250 0.250 0.250 In
0.500 0.500 0.500 Fe
0.750 0.750 0.750 Au
```

Results
Formation energy from the elements: 0.334 eV per atom
Spin magnetization: 2.43 μB per cell


No. 2
## TaCl2O (PBEsol)

Data for a relaxed TaCl2O crystal.

Geometry as POSCAR:
```
TaCl2O
1.0
0.000 2.967 2.967
2.967 0.000 2.967
2.967 2.967 0.000
Ta Cl O
1 2 1
Direct
0.000 0.000 0.000 Ta
0.250 0.250 0.250 Cl
0.750 0.750 0.750 Cl
0.500 0.500 0.500 O
```

Results
Formation energy without anion corrections: -0.154 eV/atom
Spin magnetization: 0.01 μB per cell


No. 3
## N (PBEsol)

Data for a relaxed N crystal.

Geometry as POSCAR:
```
N
1.0
4.860 2.806 4.345
-4.860 2.806 4.345
0.000 -5.611 4.345
N
16
Direct
0.043 0.043 0.043 N
0.044 0.725 0.561 N
0.061 0.225 0.544 N
0.225 0.544 0.061 N
0.275 0.439 0.956 N
0.439 0.956 0.275 N
0.456 0.939 0.775 N
0.457 0.457 0.457 N
0.543 0.543 0.543 N
0.544 0.061 0.225 N
0.561 0.044 0.725 N
0.725 0.561 0.044 N
0.775 0.456 0.939 N
0.939 0.775 0.456 N
0.956 0.275 0.439 N
0.957 0.957 0.957 N
```

Results
Distance to the lowest polymorph of the same formula: 3 meV per atom
Formation energy without anion corrections: 0.003 eV/atom
Spin magnetization: 0.00 μB per cell


No. 4
## InTeRu2 (PBEsol)

Data for a relaxed InTeRu2 crystal.

Geometry as POSCAR:
```
InTeRu2
1.0
4.171 -1.559 0.000
4.171 1.559 0.000
-1.150 0.000 5.350
In Te Ru
1 1 2
Direct
0.000 0.000 0.000 In
0.500 0.500 0.500 Te
0.251 0.251 0.722 Ru
0.749 0.749 0.278 Ru
```

Results
Distance to the lowest polymorph of the same formula: 34 meV per atom
Formation energy without anion corrections: 0.260 eV/atom
Spin magnetization: 0.00 μB per cell


No. 5
## TlCo2Pb (PBEsol)

Data for a relaxed TlCo2Pb crystal.

Geometry as POSCAR:
```
TlCo2Pb
1.0
3.189 0.000 0.000
0.000 3.191 0.000
-0.019 0.000 6.361
Tl Co Pb
1 2 1
Direct
0.000 0.000 0.000 Tl
0.499 0.500 0.751 Co
0.501 0.500 0.249 Co
0.000 0.000 0.500 Pb
```

Results
Formation energy from the elements: 0.555 eV per atom
Spin magnetization: 1.48 μB per cell


No. 6
## TePbI2N (PBEsol)

Data for a relaxed TePbI2N crystal.

Geometry as POSCAR:
```
TePbI2N
1.0
6.148 0.000 0.000
0.000 6.148 0.000
0.000 0.000 5.920
Te Pb I N
1 1 2 1
Direct
0.000 0.000 0.000 Te
0.000 0.000 0.500 Pb
0.000 0.500 0.500 I
0.500 0.000 0.500 I
0.500 0.500 0.000 N
```

Results
Distance to the lowest polymorph of the same formula: 687 meV per atom
Formation energy without anion corrections: 1.189 eV/atom
Spin magnetization: 4.40 μB per cell


No. 7
## AgTeCl2 (PBEsol)

Data for a relaxed AgTeCl2 crystal.

Geometry as POSCAR:
```
AgTeCl2
1.0
3.209 0.000 0.000
0.000 4.479 0.000
0.000 0.000 6.129
Ag Te Cl
1 1 2
Direct
0.000 0.000 0.000 Ag
0.500 0.000 0.500 Te
0.000 0.500 0.500 Cl
0.500 0.500 0.000 Cl
```

Results
Distance to the lowest polymorph of the same formula: 96 meV per atom
Formation energy without anion corrections: -0.034 eV/atom
Spin magnetization: 0.00 μB per cell


No. 8
## ZrRe2Si (PBEsol)

Data for a relaxed ZrRe2Si crystal.

Geometry as POSCAR:
```
ZrRe2Si
1.0
2.791 -4.419 0.000
2.791 4.419 0.000
-1.261 0.000 2.497
Zr Re Si
1 2 1
Direct
0.000 0.000 0.000 Zr
0.000 0.500 0.500 Re
0.500 0.000 0.500 Re
0.500 0.500 0.000 Si
```

Results
Formation energy without anion corrections: -0.039 eV/atom
Spin magnetization: 0.00 μB per cell


No. 9
## ReSbOs (PBEsol)

Data for a relaxed ReSbOs crystal.

Geometry as POSCAR:
```
ReSbOs
1.0
0.000 3.027 3.027
3.027 0.000 3.027
3.027 3.027 0.000
Re Sb Os
1 1 1
Direct
0.000 0.000 0.000 Re
0.750 0.750 0.750 Sb
0.500 0.500 0.500 Os
```

Results
Formation energy without anion corrections: 1.238 eV/atom
Spin magnetization: 0.00 μB per cell


No. 10
## K2SnP2O7 (PBEsol)

Data for a relaxed K2SnP2O7 crystal.

Geometry as POSCAR:
```
K2SnP2O7
1.0
9.843 0.000 0.000
0.000 6.779 0.000
-6.131 0.000 11.637
K Sn P O
8 4 8 28
Direct
0.014 0.125 0.147 K
0.014 0.375 0.647 K
0.481 0.647 0.662 K
0.481 0.853 0.162 K
0.519 0.147 0.838 K
0.519 0.353 0.338 K
0.986 0.625 0.353 K
0.986 0.875 0.853 K
0.248 0.154 0.493 Sn
0.248 0.346 0.993 Sn
0.752 0.654 0.007 Sn
0.752 0.846 0.507 Sn
0.135 0.629 0.149 P
0.135 0.871 0.649 P
0.348 0.642 0.856 P
0.348 0.858 0.356 P
0.652 0.142 0.644 P
0.652 0.358 0.144 P
0.865 0.129 0.351 P
0.865 0.371 0.851 P
0.008 0.016 0.365 O
0.008 0.484 0.865 O
0.104 0.691 0.575 O
0.104 0.809 0.075 O
0.212 0.698 0.284 O
0.212 0.802 0.784 O
0.255 0.013 0.644 O
0.255 0.487 0.144 O
0.316 0.052 0.292 O
0.316 0.448 0.792 O
0.336 0.623 0.969 O
0.336 0.877 0.469 O
0.496 0.745 0.875 O
0.496 0.755 0.375 O
0.504 0.245 0.625 O
0.504 0.255 0.125 O
0.664 0.123 0.531 O
0.664 0.377 0.031 O
0.684 0.552 0.208 O
0.684 0.948 0.708 O
0.745 0.513 0.856 O
0.745 0.987 0.356 O
0.788 0.198 0.216 O
0.788 0.302 0.716 O
0.896 0.191 0.925 O
0.896 0.309 0.425 O
0.992 0.516 0.135 O
0.992 0.984 0.635 O
```

Results
Formation energy without anion corrections: -2.152 eV/atom
Spin magnetization: 0.00 μB per cell


No. 11
## Ag2SnSe3 (PBEsol)

Data for a relaxed Ag2SnSe3 crystal.

Geometry as POSCAR:
```
Ag2SnSe3
1.0
3.671 -6.317 0.000
3.671 6.317 0.000
-2.568 0.000 27.716
Ag Sn Se
16 8 24
Direct
0.076 0.924 0.500 Ag
0.141 0.647 0.621 Ag
0.176 0.330 0.747 Ag
0.240 0.743 0.997 Ag
0.303 0.482 0.125 Ag
0.330 0.176 0.247 Ag
0.394 0.879 0.373 Ag
0.482 0.303 0.625 Ag
0.540 0.708 0.873 Ag
0.647 0.141 0.121 Ag
0.679 0.870 0.250 Ag
0.708 0.540 0.373 Ag
0.743 0.240 0.497 Ag
0.870 0.679 0.750 Ag
0.879 0.394 0.873 Ag
0.924 0.076 0.000 Ag
0.009 0.496 0.243 Sn
0.062 0.213 0.368 Sn
0.213 0.062 0.868 Sn
0.441 0.605 0.493 Sn
0.496 0.009 0.743 Sn
0.605 0.441 0.993 Sn
0.806 0.981 0.618 Sn
0.981 0.806 0.118 Sn
0.041 0.543 0.339 Se
0.083 0.254 0.464 Se
0.130 0.972 0.592 Se
0.174 0.658 0.714 Se
0.196 0.377 0.839 Se
0.254 0.083 0.964 Se
0.301 0.800 0.090 Se
0.346 0.514 0.218 Se
0.377 0.196 0.339 Se
0.397 0.908 0.466 Se
0.459 0.621 0.589 Se
0.514 0.346 0.718 Se
0.543 0.041 0.839 Se
0.574 0.751 0.966 Se
0.621 0.459 0.089 Se
0.658 0.174 0.214 Se
0.719 0.875 0.342 Se
0.751 0.574 0.466 Se
0.800 0.301 0.590 Se
0.827 0.987 0.714 Se
0.875 0.719 0.842 Se
0.908 0.397 0.966 Se
0.972 0.130 0.092 Se
0.987 0.827 0.214 Se
```

Results
Formation energy without anion corrections: -0.187 eV/atom
Spin magnetization: 0.00 μB per cell


No. 12
## Pr3Dy (PBEsol)

Data for a relaxed Pr3Dy crystal.

Geometry as POSCAR:
```
Pr3Dy
1.0
-2.539 2.539 5.077
2.539 -2.539 5.077
2.539 2.539 -5.077
Pr Dy
3 1
Direct
0.000 0.000 0.000 Pr
0.250 0.750 0.500 Pr
0.750 0.250 0.500 Pr
0.500 0.500 0.000 Dy
```

Results
Distance to the lowest polymorph of the same formula: 3 meV per atom
Formation energy from the elements: 0.010 eV per atom
Spin magnetization: 0.00 μB per cell


Question: Which formula does entry 4 have?
Answer: InTeRu2


Question: Which value of spin magnetization does entry 12 give?
Answer: 0.00 μB per cell